No. 1
Computed, not measured: a geometry-optimized Sm2ScBi3 structure at the PBE level of DFT.

Cell lengths 4.4632, 6.3493, 7.7270 Å; angles 114.26, 106.79, 90.00 degrees
With the nearest neighbours (Å) after each atom.
Fractional coordinates of all 6 atoms:
Sm 0.6701 0.1701 0.3402  6 Bi 3.18-3.23
Sm 0.3299 0.8299 0.6598  6 Bi 3.18-3.23
Sc 0.0000 0.5000 0.0000  6 Bi 3.05-3.17
Bi 0.3443 0.3443 0.6887  2 Sc 3.05, 4 Sm 3.18-3.23
Bi 0.0000 0.0000 0.0000  2 Sc 3.17, 4 Sm 3.19
Bi 0.6557 0.6557 0.3113  2 Sc 3.05, 4 Sm 3.18-3.23

Summary:
D(E_F) = 1.33 states/eV/cell
M_tot = 0.0 μB/cell
crystal system = orthorhombic
excess energy over the best structure of this formula in the dataset = 0.007 eV per atom

***

No. 2
Computed, not measured: a geometry-optimized Sc4RuPt structure at the PBE level of DFT.

Cell lengths 5.4058, 5.4058, 5.4058 Å; angles 60.00, 60.00, 60.00 degrees
With the nearest neighbours (Å) after each atom.
Fractional coordinates of all 6 atoms:
Sc 0.3747 0.8759 0.3747  6 Sc 2.70-2.71
Sc 0.8759 0.3747 0.3747  6 Sc 2.70-2.71
Sc 0.3747 0.3747 0.8759  6 Sc 2.70-2.71
Sc 0.3747 0.3747 0.3747  6 Sc 2.70-2.71
Ru 0.0000 0.0000 0.0000  12 Sc 3.17, 4 Pt 3.31
Pt 0.7500 0.7500 0.7500  12 Sc 3.17, 4 Ru 3.31

Summary:
D(E_F) = 5.35 states/eV/cell
raw total energy = -0.48243 Ry/atom
M_tot = 0.0 μB/cell
crystal system = cubic

***

No. 3
Computed, not measured: a geometry-optimized Na2Pm2UO6 structure at the PBE level of DFT.

Cell lengths 6.1777, 6.1777, 5.9411 Å; angles 98.94, 98.94, 120.27 degrees
With the nearest neighbours (Å) after each atom.
Fractional coordinates of all 11 atoms:
Na 0.8354 0.1646 0.0000  6 O 2.52-2.75
Na 0.1646 0.8354 0.0000  6 O 2.52-2.75
Pm 0.3346 0.6654 0.5000  6 O 2.32-2.43
Pm 0.6654 0.3346 0.5000  6 O 2.32-2.43
U 0.0000 0.0000 0.5000  6 O 2.17-2.32
O 0.7594 0.7594 0.6994  1 U 2.17
O 0.0464 0.3805 0.7009  1 U 2.32, 2 Pm 2.32-2.42, 1 Na 2.52
O 0.2406 0.2406 0.3006  1 U 2.17
O 0.3805 0.0464 0.7009  1 U 2.32, 2 Pm 2.32-2.42, 1 Na 2.52
O 0.9536 0.6195 0.2991  1 U 2.32, 2 Pm 2.32-2.42, 1 Na 2.52
O 0.6195 0.9536 0.2991  1 U 2.32, 2 Pm 2.32-2.42, 1 Na 2.52

Summary:
D(E_F) = 3.09 states/eV/cell
energy relative to the elements, uncorrected = -2917 kJ/mol of formula units
M_tot = 2.0 μB/cell
crystal system = monoclinic

***

No. 4
Computed, not measured: a geometry-optimized Ho4Zn3Cd structure at the PBE level of DFT.

Cell lengths 3.6465, 4.5919, 11.4220 Å; angles 90.00, 90.00, 90.00 degrees
With the nearest neighbours (Å) after each atom.
Fractional coordinates of all 8 atoms:
Ho 0.5000 0.5000 0.3541  6 Zn 3.06-3.07, 1 Cd 3.25
Ho 0.0000 0.5000 0.8382  5 Zn 3.06-3.09, 2 Cd 3.21
Ho 0.0000 0.0000 0.1620  3 Zn 3.08-3.28, 4 Cd 3.12
Ho 0.5000 0.0000 0.6512  7 Zn 3.07-3.10
Zn 0.0000 0.5000 0.5706  2 Zn 2.79, 7 Ho 3.06-3.07
Zn 0.0000 0.0000 0.4315  2 Zn 2.79, 7 Ho 3.06-3.10
Zn 0.5000 0.0000 0.9230  2 Cd 2.84, 5 Ho 3.09-3.10
Cd 0.5000 0.5000 0.0693  2 Zn 2.84, 4 Ho 3.12

Summary:
D(E_F) = 8.46 states/eV/cell
M_tot = 0.0 μB/cell
crystal system = orthorhombic
excess energy over the best structure of this formula in the dataset = 0.054 eV per atom

***

No. 5
Computed, not measured: a geometry-optimized La3Cu2Si4 structure at the PBE level of DFT.

Cell lengths 4.1345, 6.0851, 8.5278 Å; angles 109.97, 90.00, 109.86 degrees
With the nearest neighbours (Å) after each atom.
Fractional coordinates of all 9 atoms:
La 0.6086 0.2173 0.6742  8 Si 3.08-3.31, 1 La 3.11, 3 Cu 3.15-3.34
La 0.0000 0.0000 0.0000  8 Si 3.21-3.36, 4 Cu 3.42
La 0.3914 0.7827 0.3258  8 Si 3.08-3.31, 1 La 3.11, 3 Cu 3.15-3.34
Cu 0.6803 0.3607 0.3146  4 Si 2.36-2.55
Cu 0.3197 0.6393 0.6854  4 Si 2.36-2.55
Si 0.7264 0.4527 0.0613  1 Cu 2.40, 2 Si 2.46
Si 0.2736 0.5473 0.9387  1 Cu 2.40, 2 Si 2.46
Si 0.8682 0.7363 0.5905  3 Cu 2.36-2.55
Si 0.1318 0.2637 0.4095  3 Cu 2.36-2.55

Summary:
D(E_F) = 3.70 states/eV/cell
energy relative to the elements, uncorrected = -540 kJ/mol of formula units
M_tot = 0.0 μB/cell
crystal system = monoclinic
excess energy over the best structure of this formula in the dataset = 0.099 eV per atom

***

No. 6
Computed, not measured: a geometry-optimized Pm4Pt2Au5 structure at the PBE level of DFT.

Cell lengths 3.8088, 7.4562, 9.1246 Å; angles 94.90, 90.00, 90.00 degrees
With the nearest neighbours (Å) after each atom.
Fractional coordinates of all 11 atoms:
Pm 0.5000 0.7582 0.5746  4 Pt 3.05-3.09, 6 Au 3.14-3.27
Pm 0.5000 0.1986 0.8677  2 Pt 2.89, 4 Au 3.11-3.14
Pm 0.5000 0.2418 0.4254  4 Pt 3.05-3.09, 6 Au 3.14-3.27
Pm 0.5000 0.8014 0.1323  2 Pt 2.89, 4 Au 3.11-3.14
Pt 0.0000 0.0735 0.6428  1 Pt 2.74, 2 Au 2.80-2.84, 4 Pm 2.89-3.05
Pt 0.0000 0.9265 0.3572  1 Pt 2.74, 2 Au 2.80-2.84, 4 Pm 2.89-3.05
Au 0.0000 0.5437 0.3263  1 Pt 2.84, 2 Au 2.97-3.17, 2 Pm 3.14
Au 0.0000 0.1672 0.1375  1 Pt 2.80, 1 Au 2.87, 2 Pm 3.14
Au 0.0000 0.5000 0.0000  4 Au 2.87-2.97, 4 Pm 3.11
Au 0.0000 0.8328 0.8625  1 Pt 2.80, 1 Au 2.87, 2 Pm 3.14
Au 0.0000 0.4563 0.6737  1 Pt 2.84, 2 Au 2.97-3.17, 2 Pm 3.14

Summary:
D(E_F) = 7.28 states/eV/cell
raw total energy = -0.38121 Ry/atom
M_tot = 0.0 μB/cell
crystal system = monoclinic